NbTlPCl2 after structural relaxation. Source: Alexandria, functional PBE.

The calculation puts the magnetization at 2.61 μB/f.u. The volume comes out at 28.42 Å³/atom. The total energy comes out at -17.18 eV for the cell shown. For the density of states at the Fermi level, the calculation gives 7.5 states/eV per cell.

The structure belongs to space group P4/mmm (No. 123); the cell edges are 5.203, 5.203 and 5.248 Å and the angles 90.00°, 90.00° and 90.00°. The distinct sites, in fractional coordinates, are Nb at (0.000, 0.000, 0.000), Tl at (0.500, 0.500, 0.500), P at (0.500, 0.500, 0.000) and Cl at (0.000, 0.500, 0.500).